Compound: BRh3Cl
Source: Alexandria via LeMat-Bulk
Functional: GGA-PBE
Structure: relaxed

abc: 4.3762 4.3762 4.3762
angles: 90.00 90.00 90.00
Last column: nearest neighbours and their distance in Å.
Fractional positions:
Rh: 0.0000 0.5000 0.0000  2 Cl 2.19
B: 0.5000 0.5000 0.5000  12 Rh 3.09
Rh: 0.0000 0.0000 0.5000  2 Cl 2.19
Cl: 0.0000 0.0000 0.0000  6 Rh 2.19
Rh: 0.5000 0.0000 0.0000  2 Cl 2.19

Values from the calculation:
- symmetry = Pm-3m (221)
- uncorrected energy (eV per cell) = -22.5

---

Compound: BRhCl
Source: Alexandria via LeMat-Bulk
Functional: GGA-PBE
Structure: relaxed

abc: 3.1177 6.6657 9.4944
angles: 86.28 99.45 90.00
Last column: nearest neighbours and their distance in Å.
Fractional positions:
Rh: 0.3103 0.3992 0.6206  4 B 2.06-2.19
B: 0.7500 0.8720 0.5001  2 B 1.97, 4 Rh 2.07-2.19
Cl: 0.5848 0.8440 0.1695  2 Rh 2.46-2.47
B: 0.7478 0.3080 0.4957  2 B 1.97, 4 Rh 2.02-2.17
Rh: 0.6897 0.6008 0.3794  4 B 2.06-2.19
Rh: 0.6720 0.1064 0.3440  4 B 2.02-2.15
B: 0.2500 0.1280 0.4999  2 B 1.97, 4 Rh 2.07-2.19
Cl: 0.0971 0.3810 0.1941  4 Rh 2.72-2.81
Cl: 0.9029 0.6190 0.8059  4 Rh 2.72-2.81
B: 0.2522 0.6920 0.5043  2 B 1.97, 4 Rh 2.02-2.17
Cl: 0.4152 0.1560 0.8305  2 Rh 2.46-2.47
Rh: 0.3280 0.8936 0.6560  4 B 2.02-2.15

Values from the calculation:
- symmetry = C2/m (12)
- uncorrected energy (eV per cell) = -66.2

---

Compound: BRhS2Cl
Source: Alexandria via LeMat-Bulk
Functional: GGA-PBE
Structure: relaxed

abc: 4.2500 4.2500 4.0136
angles: 90.00 90.00 90.00
Last column: nearest neighbours and their distance in Å.
Fractional positions:
B: 0.0000 0.0000 0.0000  2 Cl 2.01, 4 S 2.12
Cl: 0.0000 0.0000 0.5000  2 B 2.01
S: 0.5000 0.0000 0.0000  2 B 2.12
S: 0.0000 0.5000 0.0000  2 B 2.12
Rh: 0.5000 0.5000 0.5000  8 S 2.92, 4 Cl 3.01

Values from the calculation:
- symmetry = P4/mmm (123)
- uncorrected energy (eV per cell) = -19.8
- excess energy over the best structure of this formula in the dataset (meV per atom) = 0.0

---

Compound: BRhS2Cl
Source: Alexandria via LeMat-Bulk
Functional: GGA-PBE
Structure: relaxed

abc: 4.5874 4.5874 4.9790
angles: 90.00 90.00 90.00
Last column: nearest neighbours and their distance in Å.
Fractional positions:
S: 0.0000 0.5000 0.0000  2 Rh 2.29
B: 0.5000 0.5000 0.5000  4 Cl 3.24, 8 S 3.39
S: 0.5000 0.0000 0.0000  2 Rh 2.29
Cl: 0.0000 0.0000 0.5000  2 Rh 2.49
Rh: 0.0000 0.0000 0.0000  4 S 2.29, 2 Cl 2.49

Values from the calculation:
- symmetry = P4/mmm (123)
- uncorrected energy (eV per cell) = -18.7
- excess energy over the best structure of this formula in the dataset (meV per atom) = 212.2

---

Compound: ZnBRh2Cl
Source: Alexandria via LeMat-Bulk
Functional: GGA-PBE
Structure: relaxed

abc: 4.7731 3.7729 4.7731
angles: 90.00 90.00 90.00
Last column: nearest neighbours and their distance in Å.
Fractional positions:
Rh: 0.0000 0.0000 0.5000  2 Zn 2.39
Rh: 0.5000 0.0000 0.0000  2 Zn 2.39
Zn: 0.0000 0.0000 0.0000  2 B 1.89
B: 0.0000 0.5000 0.0000  2 Zn 1.89
Cl: 0.5000 0.5000 0.5000  8 Rh 3.04, 4 B 3.38

Values from the calculation:
- symmetry = P4/mmm (123)
- uncorrected energy (eV per cell) = -18.2

---

Compound: B3RuCl
Source: Alexandria via LeMat-Bulk
Functional: GGA-PBE
Structure: relaxed

abc: 3.8098 3.8098 3.8098
angles: 90.00 90.00 90.00
Last column: nearest neighbours and their distance in Å.
Fractional positions:
Ru: 0.5000 0.5000 0.5000  12 B 2.69
B: 0.0000 0.0000 0.5000  2 Cl 1.90
B: 0.0000 0.5000 0.0000  2 Cl 1.90
Cl: 0.0000 0.0000 0.0000  6 B 1.90
B: 0.5000 0.0000 0.0000  2 Cl 1.90

Values from the calculation:
- symmetry = Pm-3m (221)
- uncorrected energy (eV per cell) = -19.4
- excess energy over the best structure of this formula in the dataset (meV per atom) = 1229.3

---

Compound: B3RuCl
Source: Alexandria via LeMat-Bulk
Functional: GGA-PBE
Structure: relaxed

abc: 4.1550 4.1550 4.1550
angles: 90.00 90.00 90.00
Last column: nearest neighbours and their distance in Å.
Fractional positions:
B: 0.0000 0.0000 0.5000  2 Ru 2.08
B: 0.5000 0.0000 0.0000  2 Ru 2.08
Cl: 0.5000 0.5000 0.5000  12 B 2.94
B: 0.0000 0.5000 0.0000  2 Ru 2.08
Ru: 0.0000 0.0000 0.0000  6 B 2.08

Values from the calculation:
- symmetry = Pm-3m (221)
- uncorrected energy (eV per cell) = -25.6
- excess energy over the best structure of this formula in the dataset (meV per atom) = 0.0

---

Compound: BRuCl2
Source: Alexandria via LeMat-Bulk
Functional: GGA-PBE
Structure: relaxed

abc: 10.0844 10.0844 10.0844
angles: 16.99 16.99 16.99
Last column: nearest neighbours and their distance in Å.
Fractional positions:
Ru: 0.5000 0.5000 0.5000  6 Ru 2.98
B: 0.0000 0.0000 0.0000  2 Cl 1.67
Cl: 0.9440 0.9440 0.9440  1 B 1.67
Cl: 0.0560 0.0560 0.0560  1 B 1.67

Values from the calculation:
- symmetry = R-3m (166)
- uncorrected energy (eV per cell) = -15.7
- excess energy over the best structure of this formula in the dataset (meV per atom) = 0.0

---

Compound: BRu3Cl
Source: Alexandria via LeMat-Bulk
Functional: GGA-PBE
Structure: relaxed

abc: 4.1667 4.1667 4.1667
angles: 90.00 90.00 90.00
Last column: nearest neighbours and their distance in Å.
Fractional positions:
Cl: 0.5000 0.5000 0.5000  12 Ru 2.95
Ru: 0.0000 0.5000 0.0000  2 B 2.08
B: 0.0000 0.0000 0.0000  6 Ru 2.08
Ru: 0.0000 0.0000 0.5000  2 B 2.08
Ru: 0.5000 0.0000 0.0000  2 B 2.08

Values from the calculation:
- symmetry = Pm-3m (221)
- uncorrected energy (eV per cell) = -32.1
- excess energy over the best structure of this formula in the dataset (meV per atom) = 0.0

---

Compound: BRuCl2
Source: Alexandria via LeMat-Bulk
Functional: GGA-PBE
Structure: relaxed

abc: 4.5413 4.5413 4.5413
angles: 60.00 60.00 60.00
Last column: nearest neighbours and their distance in Å.
Fractional positions:
Ru: 0.5000 0.5000 0.5000  8 Cl 2.78
Cl: 0.2500 0.2500 0.2500  4 Ru 2.78, 4 B 2.78
Cl: 0.7500 0.7500 0.7500  4 Ru 2.78, 4 B 2.78
B: 0.0000 0.0000 0.0000  8 Cl 2.78

Values from the calculation:
- symmetry = Fm-3m (225)
- uncorrected energy (eV per cell) = -14.4
- excess energy over the best structure of this formula in the dataset (meV per atom) = 322.5

---

Compound: BRuCl3
Source: Alexandria via LeMat-Bulk
Functional: GGA-PBE
Structure: relaxed

abc: 4.7923 4.7923 4.7923
angles: 90.00 90.00 90.00
Last column: nearest neighbours and their distance in Å.
Fractional positions:
Cl: 0.0000 0.0000 0.5000  2 Ru 2.40
Cl: 0.0000 0.5000 0.0000  2 Ru 2.40
Cl: 0.5000 0.0000 0.0000  2 Ru 2.40
Ru: 0.0000 0.0000 0.0000  6 Cl 2.40
B: 0.5000 0.5000 0.5000  12 Cl 3.39

Values from the calculation:
- symmetry = Pm-3m (221)
- uncorrected energy (eV per cell) = -17.4
- excess energy over the best structure of this formula in the dataset (meV per atom) = 0.0

---

Compound: BRuCl3
Source: Alexandria via LeMat-Bulk
Functional: GGA-PBE
Structure: relaxed

abc: 4.4466 4.4466 4.4466
angles: 90.00 90.00 90.00
Last column: nearest neighbours and their distance in Å.
Fractional positions:
Cl: 0.5000 0.0000 0.0000  2 B 2.22
B: 0.0000 0.0000 0.0000  6 Cl 2.22
Ru: 0.5000 0.5000 0.5000  12 Cl 3.14
Cl: 0.0000 0.5000 0.0000  2 B 2.22
Cl: 0.0000 0.0000 0.5000  2 B 2.22

Values from the calculation:
- symmetry = Pm-3m (221)
- uncorrected energy (eV per cell) = -16.8
- excess energy over the best structure of this formula in the dataset (meV per atom) = 111.2

---

Q: Among the records above, which one has the lowest uncorrected energy?
A: BRhCl